one | TlGaAu6: optimized geometry, PBE.

Cell: 3.9724 3.9724 10.6588 Å, 90.00 90.00 90.00°
Closest atoms and distances in Å follow each position.
Fractional positions:
Tl1 0.0000 0.0000 0.0000  8 Au 3.13
Ga1 0.0000 0.0000 0.5000  8 Au 2.70
Au1 0.0000 0.5000 0.3290  2 Ga 2.70, 6 Au 2.81-2.91
Au2 0.0000 0.5000 0.6710  2 Ga 2.70, 6 Au 2.81-2.91
Au3 0.5000 0.0000 0.3290  2 Ga 2.70, 6 Au 2.81-2.91
Au4 0.5000 0.0000 0.6710  2 Ga 2.70, 6 Au 2.81-2.91
Au5 0.5000 0.5000 0.1292  5 Au 2.75-2.91
Au6 0.5000 0.5000 0.8708  5 Au 2.75-2.91

Properties
SG: P4/mmm, No. 123

=====

two | TlGaAu6: optimized geometry, PBE.

Cell: 3.4754 7.9015 6.0980 Å, 90.00 90.00 90.00°
Closest atoms and distances in Å follow each position.
Fractional positions:
Tl1 0.0000 0.0000 0.0000  8 Au 3.04-3.39
Ga1 0.5000 0.5000 0.3730  8 Au 2.64-2.77
Au1 0.0000 0.2438 0.3865  2 Ga 2.67, 5 Au 2.83-2.95
Au2 0.0000 0.5000 0.0472  2 Ga 2.64, 6 Au 2.83-2.89
Au3 0.0000 0.7562 0.3865  2 Ga 2.67, 5 Au 2.83-2.95
Au4 0.5000 0.0000 0.5717  6 Au 2.79-2.83
Au5 0.5000 0.3205 0.7640  1 Ga 2.77, 6 Au 2.79-2.95
Au6 0.5000 0.6795 0.7640  1 Ga 2.77, 6 Au 2.79-2.95

Properties
SG: Pmm2, No. 25

=====

Most stable structure - one; separation to the second - 17 meV per atom.

=====

one | TlGaAu: optimized geometry, PBE.

Cell: 3.4960 3.4960 11.3209 Å, 90.00 90.00 90.00°
Closest atoms and distances in Å follow each position.
Fractional positions:
Tl1 0.0000 0.0000 0.0000  5 Au 3.29-3.49, 5 Ga 3.34-3.39, 4 Tl 3.50
Tl2 0.5000 0.5000 0.5000  5 Au 3.29-3.49, 5 Ga 3.34-3.39, 4 Tl 3.50
Ga1 0.0000 0.0000 0.2952  4 Au 2.74
Ga2 0.5000 0.5000 0.7952  4 Au 2.74
Au1 0.0000 0.0000 0.6918  4 Ga 2.74
Au2 0.5000 0.5000 0.1918  4 Ga 2.74

Properties
SG: I4mm, No. 107

=====

two | TlGaAu: optimized geometry, PBE.

Cell: 4.4497 4.4537 7.1677 Å, 90.00 90.21 90.00°
Closest atoms and distances in Å follow each position.
Fractional positions:
Tl1 0.2492 0.2500 0.1333  5 Au 3.08-3.37, 4 Ga 3.44-3.45
Tl2 0.7508 0.7500 0.8667  5 Au 3.08-3.37, 4 Ga 3.44-3.45
Ga1 0.2485 0.7500 0.5003  4 Au 2.66
Ga2 0.7515 0.2500 0.4997  4 Au 2.66
Au1 0.2532 0.2500 0.7038  4 Ga 2.66
Au2 0.7468 0.7500 0.2962  4 Ga 2.66

Properties
SG: P2_1/m, No. 11

=====

Most stable structure - two; separation to the second - 77 meV per atom.

=====

one | TlGaAu: optimized geometry, PBE.

Cell: 3.9458 4.0425 10.3836 Å, 98.64 93.58 114.30°
Closest atoms and distances in Å follow each position.
Fractional positions:
Tl1 0.0000 0.0000 0.0000  3 Ga 3.08-3.14, 2 Tl 3.44-3.45
Tl2 0.2660 0.4879 0.7507  3 Au 3.04-3.07, 1 Ga 3.20
Ga1 0.1358 0.3165 0.4362  6 Au 2.69-2.72
Ga2 0.7389 0.4626 0.1986  3 Au 2.62-2.63
Au1 0.4342 0.8834 0.3079  6 Ga 2.62-2.72
Au2 0.8395 0.7486 0.5628  3 Ga 2.69-2.71

Properties
SG: P1, No. 1

=====

two | TlGaAu: optimized geometry, PBE.

Cell: 4.3696 4.3696 4.3882 Å, 90.00 90.00 120.00°
Closest atoms and distances in Å follow each position.
Fractional positions:
Tl1 0.0000 0.0000 0.0000  3 Au 3.07, 3 Ga 3.17
Ga1 0.6667 0.3333 0.5618  3 Au 2.62
Au1 0.3333 0.6667 0.4002  3 Ga 2.62

Properties
SG: P3m1, No. 156

=====

three | TlGaAu: optimized geometry, PBE.

Cell: 6.6478 6.6478 6.6478 Å, 90.00 90.00 90.00°
Closest atoms and distances in Å follow each position.
Fractional positions:
Tl1 0.0000 0.0000 0.0000  4 Au 2.88
Tl2 0.0000 0.5000 0.5000  4 Au 2.88
Tl3 0.5000 0.0000 0.5000  4 Au 2.88
Tl4 0.5000 0.5000 0.0000  4 Au 2.88
Ga1 0.0000 0.0000 0.5000  4 Au 2.88
Ga2 0.0000 0.5000 0.0000  4 Au 2.88
Ga3 0.5000 0.0000 0.0000  4 Au 2.88
Ga4 0.5000 0.5000 0.5000  4 Au 2.88
Au1 0.2500 0.2500 0.7500  4 Tl 2.88, 4 Ga 2.88
Au2 0.2500 0.7500 0.2500  4 Tl 2.88, 4 Ga 2.88
Au3 0.7500 0.2500 0.2500  4 Tl 2.88, 4 Ga 2.88
Au4 0.7500 0.7500 0.7500  4 Tl 2.88, 4 Ga 2.88

Properties
SG: F-43m, No. 216

=====

Most stable structure - one; separation to the second - 12 meV per atom.

=====

one | TlGa3Au3: optimized geometry, PBE.

Cell: 7.5076 7.5076 7.5076 Å, 63.44 63.44 63.44°
Closest atoms and distances in Å follow each position.
Fractional positions:
Tl1 0.1666 0.1666 0.1666  6 Au 2.99-3.00, 6 Ga 3.30
Tl2 0.8334 0.8334 0.8334  6 Au 2.99-3.00, 6 Ga 3.30
Ga1 0.0731 0.3930 0.7125  4 Au 2.62-2.80
Ga2 0.2875 0.9269 0.6070  4 Au 2.62-2.80
Ga3 0.3930 0.7125 0.0731  4 Au 2.62-2.80
Ga4 0.6070 0.2875 0.9269  4 Au 2.62-2.80
Ga5 0.7125 0.0731 0.3930  4 Au 2.62-2.80
Ga6 0.9269 0.6070 0.2875  4 Au 2.62-2.80
Au1 0.0907 0.7525 0.4206  4 Ga 2.62-2.80
Au2 0.2475 0.5794 0.9093  4 Ga 2.62-2.80
Au3 0.4206 0.0907 0.7525  4 Ga 2.62-2.80
Au4 0.5794 0.9093 0.2475  4 Ga 2.62-2.80
Au5 0.7525 0.4206 0.0907  4 Ga 2.62-2.80
Au6 0.9093 0.2475 0.5794  4 Ga 2.62-2.80

Properties
SG: R-3, No. 148

=====

two | TlGa3Au3: optimized geometry, PBE.

Cell: 7.1954 7.1954 7.1954 Å, 90.00 90.00 90.00°
Closest atoms and distances in Å follow each position.
Fractional positions:
Tl1 0.0000 0.0000 0.0000  12 Ga 4.02, 12 Au 4.02
Tl2 0.5000 0.5000 0.5000  12 Ga 4.02, 12 Au 4.02
Ga1 0.0000 0.2500 0.5000  4 Au 2.54
Ga2 0.0000 0.7500 0.5000  4 Au 2.54
Ga3 0.2500 0.5000 0.0000  4 Au 2.54
Ga4 0.5000 0.0000 0.2500  4 Au 2.54
Ga5 0.5000 0.0000 0.7500  4 Au 2.54
Ga6 0.7500 0.5000 0.0000  4 Au 2.54
Au1 0.0000 0.5000 0.2500  4 Ga 2.54
Au2 0.0000 0.5000 0.7500  4 Ga 2.54
Au3 0.2500 0.0000 0.5000  4 Ga 2.54
Au4 0.5000 0.2500 0.0000  4 Ga 2.54
Au5 0.5000 0.7500 0.0000  4 Ga 2.54
Au6 0.7500 0.0000 0.5000  4 Ga 2.54

Properties
SG: Pm-3n, No. 223

=====

Most stable structure - one; separation to the second - 44 meV per atom.

=====

one | TlGa2Au3: optimized geometry, PBE.

Cell: 6.9948 6.9948 5.5646 Å, 90.00 90.00 75.91°
Closest atoms and distances in Å follow each position.
Fractional positions:
Tl1 0.1611 0.8389 0.7500  11 Au 3.46-3.86, 4 Ga 3.79
Tl2 0.8389 0.1611 0.2500  11 Au 3.46-3.86, 4 Ga 3.79
Ga1 0.2939 0.2939 0.0000  6 Au 2.58-2.83, 2 Ga 2.78
Ga2 0.2939 0.2939 0.5000  6 Au 2.58-2.83, 2 Ga 2.78
Ga3 0.7061 0.7061 0.0000  6 Au 2.58-2.83, 2 Ga 2.78
Ga4 0.7061 0.7061 0.5000  6 Au 2.58-2.83, 2 Ga 2.78
Au1 0.0237 0.5945 0.2500  4 Ga 2.58-2.83, 1 Au 2.84
Au2 0.4055 0.9763 0.2500  4 Ga 2.58-2.83, 1 Au 2.84
Au3 0.4364 0.5636 0.2500  4 Ga 2.72, 4 Au 2.84-2.99
Au4 0.5636 0.4364 0.7500  4 Ga 2.72, 4 Au 2.84-2.99
Au5 0.5945 0.0237 0.7500  4 Ga 2.58-2.83, 1 Au 2.84
Au6 0.9763 0.4055 0.7500  4 Ga 2.58-2.83, 1 Au 2.84

Properties
SG: Cmcm, No. 63

=====

two | TlGa2Au3: optimized geometry, PBE.

Cell: 4.1631 12.3588 5.2041 Å, 90.00 90.00 90.00°
Closest atoms and distances in Å follow each position.
Fractional positions:
Tl1 0.2500 0.2500 0.1935  8 Au 3.26-3.37
Tl2 0.7500 0.7500 0.8065  8 Au 3.26-3.37
Ga1 0.2500 0.5547 0.1507  5 Au 2.56-2.68
Ga2 0.2500 0.9453 0.1507  5 Au 2.56-2.68
Ga3 0.7500 0.0547 0.8493  5 Au 2.56-2.68
Ga4 0.7500 0.4453 0.8493  5 Au 2.56-2.68
Au1 0.2500 0.5567 0.6592  4 Ga 2.56-2.68
Au2 0.2500 0.7500 0.3165  2 Ga 2.56
Au3 0.2500 0.9433 0.6592  4 Ga 2.56-2.68
Au4 0.7500 0.0567 0.3408  4 Ga 2.56-2.68
Au5 0.7500 0.2500 0.6835  2 Ga 2.56
Au6 0.7500 0.4433 0.3408  4 Ga 2.56-2.68

Properties
SG: Pmmn, No. 59

=====

Most stable structure - one; separation to the second - 15 meV per atom.

=====

one | Tm3Ga4Au4: optimized geometry, PBE.

Cell: 13.9682 13.9682 13.9682 Å, 165.57 161.12 23.85°
Closest atoms and distances in Å follow each position.
Fractional positions:
Tm1 0.0000 0.0000 0.0000  4 Au 3.08, 8 Ga 3.15
Tm2 0.3590 0.8590 0.5000  6 Au 3.04-3.18, 6 Ga 3.12-3.15
Tm3 0.6410 0.1410 0.5000  6 Au 3.04-3.18, 6 Ga 3.12-3.15
Ga1 0.1873 0.6873 0.5000  5 Au 2.59-2.82
Ga2 0.4535 0.4535 0.0000  1 Ga 2.54, 2 Au 2.61
Ga3 0.5465 0.5465 0.0000  1 Ga 2.54, 2 Au 2.61
Ga4 0.8127 0.3127 0.5000  5 Au 2.59-2.82
Au1 0.0924 0.5924 0.5000  3 Ga 2.59-2.61
Au2 0.2682 0.2682 0.0000  4 Ga 2.59-2.82
Au3 0.7318 0.7318 0.0000  4 Ga 2.59-2.82
Au4 0.9076 0.4076 0.5000  3 Ga 2.59-2.61

Properties
SG: Immm, No. 71

=====

two | Tm3Ga4Au4: optimized geometry, PBE.

Cell: 3.5038 4.4869 14.3341 Å, 98.95 96.93 90.02°
Closest atoms and distances in Å follow each position.
Fractional positions:
Tm1 0.0000 0.0000 0.0000  8 Au 3.16-3.17, 4 Ga 3.17, 2 Tm 3.50
Tm2 0.1418 0.6400 0.2836  6 Au 3.10-3.14, 6 Ga 3.14-3.25
Tm3 0.8582 0.3600 0.7164  6 Au 3.10-3.14, 6 Ga 3.14-3.25
Ga1 0.2600 0.2620 0.5218  4 Au 2.69-2.74, 4 Ga 2.90-2.92
Ga2 0.4060 0.9068 0.8118  3 Au 2.57-2.58
Ga3 0.5940 0.0932 0.1882  3 Au 2.57-2.58
Ga4 0.7400 0.7380 0.4782  4 Au 2.69-2.74, 4 Ga 2.90-2.92
Au1 0.3146 0.8161 0.6282  5 Ga 2.58-2.74
Au2 0.4523 0.4511 0.9013  2 Ga 2.57, 1 Au 2.77
Au3 0.5477 0.5489 0.0987  2 Ga 2.57, 1 Au 2.77
Au4 0.6854 0.1839 0.3718  5 Ga 2.58-2.74

Properties
SG: P-1, No. 2

=====

Most stable structure - two; separation to the second - 8 meV per atom.